A relaxed structure of YSbSO2, computed with PBE.

a b c (Å): 6.305 3.937 7.597
angles (deg): 90.00 105.36 90.00
Space group P2_1/m (No. 11)
Inequivalent atoms, fractional coordinates:
Y  0.206  0.250  0.432 [2 per cell]
Sb  0.182  0.250  0.907 [2 per cell]
S  0.431  0.750  0.691 [2 per cell]
O  0.013  0.750  0.892 [2 per cell]
O  0.016  0.750  0.357 [2 per cell]

Output
DOS at the Fermi energy: 0.0 states/eV/cell
Calculated total energy: -6.96 eV/atom
Total magnetic moment: 0.00 μB/f.u.
Crystal system: monoclinic